Entry 1:
{"formula": "MnCr2ReBi", "functional": "PBE", "state": "relaxed", "ef_ev_per_atom": 2.208, "crystal_system": "tetragonal", "mass_density_g_cm3": 6.92, "total_magnetization_mub_per_cell": 11.2, "total_energy_ev_per_atom": -6.741, "spacegroup": "P4/mmm, No. 123", "lattice_angstrom": [[5.093, 0.000, 0.000], [0.000, 5.130, 0.000], [0.000, 0.000, 5.093]], "species": ["Re", "Mn", "Bi", "Cr", "Cr"], "fractional_positions": [[0.000, 0.500, 0.000], [0.500, 0.500, 0.500], [0.000, 0.000, 0.000], [0.000, 0.000, 0.500], [0.500, 0.000, 0.000]]}

---

Entry 2:
{"formula": "MnCrBiSe2", "functional": "PBE", "state": "relaxed", "crystal_system": "tetragonal", "mass_density_g_cm3": 6.21, "total_magnetization_mub_per_cell": 6.3, "total_energy_ev_per_atom": -5.516, "spacegroup": "P4/mmm, No. 123", "raw_formation_energy_ev_per_atom": 0.4126, "lattice_angstrom": [[-3.099, 3.205, -1.252], [-2.687, -3.956, -3.474], [-2.722, -1.252, 3.531]], "species": ["Cr", "Mn", "Bi", "Se", "Se"], "fractional_positions": [[0.000, 0.000, 0.000], [0.500, 0.500, 0.500], [0.000, 0.500, 0.000], [0.000, 0.000, 0.500], [0.500, 0.000, 0.000]]}

---

Entry 3:
{"formula": "SrMnCrBi2", "functional": "PBE", "state": "relaxed", "ef_ev_per_atom": 0.247, "crystal_system": "tetragonal", "mass_density_g_cm3": 7.14, "total_magnetization_mub_per_cell": 1.8, "total_energy_ev_per_atom": -5.400, "spacegroup": "P4/mmm, No. 123", "lattice_angstrom": [[-3.692, 3.855, -0.860], [-2.772, -1.863, 3.551], [2.480, 3.179, 3.603]], "species": ["Sr", "Mn", "Bi", "Bi", "Cr"], "fractional_positions": [[0.500, 0.500, 0.500], [0.000, 0.500, 0.000], [0.000, 0.000, 0.500], [0.500, 0.000, 0.000], [0.000, 0.000, 0.000]]}